Record 1
# ScGa2Ni2, relaxed, DFT GGA-PBE
# - Energy of formation from the pure elements: -0.40 eV per atom
data_ScGa2Ni2
_cell_length_a 7.243
_cell_length_b 7.243
_cell_length_c 2.730
_cell_angle_alpha 90.00
_cell_angle_beta 90.00
_cell_angle_gamma 90.00
_space_group_name_H-M_alt 'P 4/m b m'
_space_group_IT_number 127
_space_group_name_Hall '-P 4 2ab'
loop_
_atom_site_label
_atom_site_type_symbol
_atom_site_fract_x
_atom_site_fract_y
_atom_site_fract_z
Sc1 Sc 0.000 0.000 0.000
Ga1 Ga 0.128 0.372 0.000
Ni1 Ni 0.170 0.670 0.500


Record 2
# ScGa2Ni, relaxed, DFT GGA-PBE
# - Energy of formation from the pure elements: -0.65 eV per atom
data_ScGa2Ni
_cell_length_a 4.053
_cell_length_b 9.574
_cell_length_c 6.486
_cell_angle_alpha 90.00
_cell_angle_beta 90.00
_cell_angle_gamma 90.00
_space_group_name_H-M_alt 'C m c m'
_space_group_IT_number 63
_space_group_name_Hall '-C 2c 2'
loop_
_atom_site_label
_atom_site_type_symbol
_atom_site_fract_x
_atom_site_fract_y
_atom_site_fract_z
Sc1 Sc 0.000 0.076 0.250
Ga1 Ga 0.000 0.363 0.050
Ni1 Ni 0.000 0.206 0.750